[1]
{
  "formula": "LiCa4Hg2",
  "functional": "PBE-GGA",
  "state": "optimized geometry",
  "lattice": [[5.153, 0.000, 1.610], [2.325, 4.598, 1.610], [-0.005, -0.003, 9.066]],
  "species": ["Li", "Hg", "Hg", "Ca", "Ca", "Ca", "Ca"],
  "frac_coords": [[0.000, 0.000, 0.000], [0.255, 0.255, 0.236], [0.745, 0.745, 0.764], [0.380, 0.380, 0.859], [0.872, 0.872, 0.384], [0.620, 0.620, 0.141], [0.128, 0.128, 0.616]],
  "formation_energy_ev_per_atom": -0.3098,
  "space_group": "R-3m (166)",
  "crystal_system": "trigonal",
  "de_polymorph_ev_per_atom": 0.000
}



[2]
{
  "formula": "LiCa3Hg",
  "functional": "PBE-GGA",
  "state": "optimized geometry",
  "lattice": [[-4.243, 1.281, 3.939], [0.847, -5.252, 2.620], [4.055, 2.437, 3.575]],
  "species": ["Ca", "Ca", "Ca", "Li", "Hg"],
  "frac_coords": [[0.000, 0.000, 0.500], [0.500, 0.000, 0.000], [0.000, 0.500, 0.000], [0.500, 0.500, 0.500], [0.000, 0.000, 0.000]],
  "formation_energy_ev_per_atom": -0.0347,
  "space_group": "Pm-3m (221)",
  "crystal_system": "cubic",
  "de_polymorph_ev_per_atom": 0.204
}



[3]
{
  "formula": "LiCaHg3",
  "functional": "PBE-GGA",
  "state": "optimized geometry",
  "lattice": [[4.987, 0.000, 0.000], [0.000, 4.987, 0.000], [0.000, 0.000, 4.987]],
  "species": ["Hg", "Hg", "Hg", "Ca", "Li"],
  "frac_coords": [[0.500, 0.000, 0.000], [0.000, 0.000, 0.500], [0.000, 0.500, 0.000], [0.500, 0.500, 0.500], [0.000, 0.000, 0.000]],
  "formation_energy_ev_per_atom": -0.2538,
  "space_group": "Pm-3m (221)",
  "crystal_system": "cubic",
  "de_polymorph_ev_per_atom": 0.116
}